Computed, not measured: a geometry-optimized KLiNiF4 structure at the GGA+U level of DFT.

Lattice parameters (Å, degrees): 5.3505 5.4840 7.7305 90.00 121.47 90.00
Last column: nearest neighbours and their distance in Å.
Fractional positions:
F 0.9257 0.5123 0.3104  1 Li 1.93, 1 Ni 2.02
Ni 0.7822 0.7500 0.4403  4 F 1.96-2.04
F 0.9257 0.9877 0.3104  1 Li 1.93, 1 Ni 2.02
F 0.6153 0.2500 0.8237  1 Li 1.87, 1 Ni 2.04
Ni 0.2178 0.2500 0.5597  4 F 1.96-2.04
Li 0.2055 0.7500 0.3293  4 F 1.84-1.93
F 0.5552 0.7500 0.5737  1 Li 1.84, 1 Ni 1.96
K 0.4038 0.2500 0.0876  4 F 2.51-2.80
Li 0.7945 0.2500 0.6707  4 F 1.84-1.93
F 0.4448 0.2500 0.4263  1 Li 1.84, 1 Ni 1.96
K 0.5962 0.7500 0.9124  4 F 2.51-2.80
F 0.3847 0.7500 0.1763  1 Li 1.87, 1 Ni 2.04
F 0.0743 0.0123 0.6896  1 Li 1.93, 1 Ni 2.02
F 0.0743 0.4877 0.6896  1 Li 1.93, 1 Ni 2.02

Summary:
uncorrected energy: -60.679 eV per cell
V: 193.5 Å³ per cell